1.
First-principles (PBE) data for an optimized crystal structure of Cs2MnCl4, as listed in the Alexandria database.

Output
ΔE_f (raw) (eV/f.u.): -11.62
Polymorph energy (0 for the lowest one) (eV per formula unit): 0.00
M_tot (μB per cell): 10.00

Cell: 7.4982 7.5193 9.9378 Å, 90.00 109.20 90.00°
Last column: nearest neighbours and their distance in Å.
Space group P2_1/m (No. 11)
Asymmetric unit:
Cs  0.1953  0.2500  0.4196 x2  8 Cl 3.59-3.87
Cs  0.2990  0.2500  0.9622 x2  6 Cl 3.46-3.69
Mn  0.2923  0.7500  0.2156 x2  4 Cl 2.35-2.37
Cl  0.0838  0.7500  0.3484 x2  1 Mn 2.36
Cl  0.1398  0.7500  0.9656 x2  1 Mn 2.37
Cl  0.4972  0.5048  0.2744 x4  1 Mn 2.35



2.
First-principles (PBE) data for an optimized crystal structure of Cs3Mn2Cl7, as listed in the Alexandria database.

Output
ΔE_f (raw) (eV/f.u.): -18.62
M_tot (μB per cell): 20.00

Cell: 5.2305 27.2929 5.1149 Å, 90.00 90.00 90.00°
Last column: nearest neighbours and their distance in Å.
Space group Cmmm (No. 65)
Asymmetric unit:
Cs  0.0000  0.0000  0.0000 x2  12 Cl 3.61-3.66
Cs  0.0000  0.1819  0.0000 x4  8 Cl 3.51-3.66
Mn  0.0000  0.4041  0.5000 x4  6 Cl 2.49-2.62
Cl  0.0000  0.0936  0.5000 x4  2 Mn 2.62
Cl  0.0000  0.3130  0.5000 x4  1 Mn 2.49
Cl  0.0000  0.4062  0.0000 x4  2 Mn 2.56
Cl  0.0000  0.5000  0.5000 x2  2 Mn 2.62



3.
First-principles (PBE) data for an optimized crystal structure of CsMn2Cl8, as listed in the Alexandria database.

Output
ΔE_f (raw) (eV/f.u.): -11.52
Polymorph energy (0 for the lowest one) (eV per formula unit): 0.00
M_tot (μB per cell): 7.00

Cell: 6.7303 7.6127 8.4052 Å, 71.81 77.85 81.03°
Last column: nearest neighbours and their distance in Å.
Space group P-1 (No. 2)
Asymmetric unit:
Cs  0.0000  0.0000  0.0000 x1  10 Cl 3.65-4.05
Mn  0.2374  0.3179  0.3061 x2  4 Cl 2.16-2.19
Cl  0.0619  0.6584  0.7603 x2  1 Mn 2.17
Cl  0.2841  0.6039  0.2708 x2  1 Mn 2.17
Cl  0.3059  0.1952  0.5593 x2  1 Mn 2.16
Cl  0.4003  0.1240  0.1665 x2  1 Mn 2.19



4.
First-principles (PBE) data for an optimized crystal structure of Cs3MnCl4, as listed in the Alexandria database.

Output
ΔE_f (raw) (eV/f.u.): -11.14
Polymorph energy (0 for the lowest one) (eV per formula unit): 0.54
M_tot (μB per cell): 8.62

Cell: 8.4996 8.4996 8.4996 Å, 90.00 90.00 90.00°
Last column: nearest neighbours and their distance in Å.
Space group I-43m (No. 217)
Asymmetric unit:
Cs  0.0000  0.0000  0.5000 x6  4 Cl 3.47
Mn  0.0000  0.0000  0.0000 x2  4 Cl 2.45
Cl  0.1666  0.1666  0.1666 x8  1 Mn 2.45



5.
First-principles (PBE) data for an optimized crystal structure of Cs2Mn2Cl5, as listed in the Alexandria database.

Output
ΔE_f (raw) (eV/f.u.): -11.45
M_tot (μB per cell): 18.03

Cell: 13.5549 5.2451 8.3315 Å, 90.00 104.52 90.00°
Last column: nearest neighbours and their distance in Å.
Space group C2/m (No. 12)
Asymmetric unit:
Cs  0.0905  0.0000  0.3149 x4  7 Cl 3.51-3.70
Mn  0.1614  0.5000  0.9037 x4  5 Cl 2.39-2.63
Cl  0.0000  0.5000  0.0000 x2  2 Mn 2.51
Cl  0.1427  0.5000  0.6112 x4  1 Mn 2.39
Cl  0.1650  0.0000  0.9264 x4  3 Mn 2.42-2.63



6.
First-principles (PBE) data for an optimized crystal structure of Cs2MnCl5, as listed in the Alexandria database.

Output
ΔE_f (raw) (eV/f.u.): -12.44
M_tot (μB per cell): 8.00

Cell: 7.5507 7.5507 10.0995 Å, 90.00 90.00 90.00°
Last column: nearest neighbours and their distance in Å.
Space group I4mm (No. 107)
Asymmetric unit:
Cs  0.0000  0.5000  0.0000 x4  10 Cl 3.66-3.78
Mn  0.0000  0.0000  0.2187 x2  5 Cl 2.30-2.36
Cl  0.0000  0.0000  0.9848 x2  1 Mn 2.36
Cl  0.2125  0.2125  0.2559 x8  1 Mn 2.30